Below is crystalline LiMnPO4 at its relaxed geometry, with properties calculated at the PBE+U level.

Raw total energy ... -7.12 eV/atom
Calculated volume ... 322 Å³/cell
Mass density ... 3232 kg/m3
Energy above the most stable polymorph in this dataset ... 65 meV/atom

Structure (POSCAR):
```
LiMnPO4
1.0
-4.2952 -2.1400 -0.5550
0.4152 -2.3945 6.0192
-4.6577 8.3986 3.6624
Li Mn P O
4 4 4 16
Direct
0.4979 0.2500 0.2158
0.9979 0.7500 0.2842
0.0021 0.2500 0.7158
0.5021 0.7500 0.7842
0.0000 0.5000 0.0000
0.5000 0.0000 0.5000
0.0000 0.0000 0.0000
0.5000 0.5000 0.5000
0.5778 0.7500 0.0974
0.0778 0.2500 0.4026
0.9222 0.7500 0.5974
0.4222 0.2500 0.9026
0.2903 0.2500 0.0451
0.7903 0.7500 0.4549
0.2097 0.2500 0.5451
0.7097 0.7500 0.9549
0.2557 0.7500 0.0893
0.7557 0.2500 0.4107
0.2443 0.7500 0.5893
0.7443 0.2500 0.9107
0.6958 0.9462 0.1631
0.6958 0.5538 0.1631
0.1958 0.4462 0.3369
0.1958 0.0538 0.3369
0.8042 0.9462 0.6631
0.8042 0.5538 0.6631
0.3042 0.4462 0.8369
0.3042 0.0538 0.8369
```